{"formula": "EuPu2Re", "functional": "PBE-GGA", "state": "optimized geometry", "formation_energy_ev_per_fu": 0.831, "lattice_angstrom": [[3.319, 0.000, 0.000], [0.000, 3.319, 0.000], [0.000, 0.000, 9.280]], "species": ["Re", "Pu", "Pu", "Eu"], "fractional_positions": [[0.500, 0.500, 0.000], [0.000, 0.000, 0.188], [0.000, 0.000, 0.812], [0.500, 0.500, 0.500]]}